A plane-wave DFT calculation with PBE was carried out for crystalline Sr3Li2Br8 at its relaxed geometry.

- E_form (uncorrected): -1914 meV per atom
- Calculated volume: 916 Å³/cell

Lattice parameters (Å, degrees): 9.4554 9.4554 12.1840 90.00 90.00 122.80
Fractional positions:
Sr 0.0000 0.0000 0.0000
Sr 0.0946 0.4054 0.2500
Sr 0.4054 0.0946 0.7500
Sr 0.5000 0.5000 0.5000
Sr 0.5946 0.9054 0.2500
Sr 0.9054 0.5946 0.7500
Li 0.1107 0.8893 0.3964
Li 0.3893 0.6107 0.8964
Li 0.6107 0.3893 0.1036
Li 0.8893 0.1107 0.6036
Br 0.0218 0.9782 0.7480
Br 0.1226 0.3678 0.4972
Br 0.1322 0.3774 0.0028
Br 0.2246 0.7754 0.2550
Br 0.2754 0.7246 0.7550
Br 0.3678 0.1226 0.5028
Br 0.3774 0.1322 0.9972
Br 0.4782 0.5218 0.2480
Br 0.5218 0.4782 0.7520
Br 0.6226 0.8678 0.0028
Br 0.6322 0.8774 0.4972
Br 0.7246 0.2754 0.2450
Br 0.7754 0.2246 0.7450
Br 0.8678 0.6226 0.9972
Br 0.8774 0.6322 0.5028
Br 0.9782 0.0218 0.2520

***

A plane-wave DFT calculation with PBE was carried out for crystalline SrLiBr2 at its relaxed geometry.

- E_form (uncorrected): -1407 meV per atom
- Calculated volume: 118 Å³/cell
- Distance to the lowest polymorph of the same formula: 26 meV/atom

Lattice parameters (Å, degrees): 4.6294 4.2611 6.3381 90.00 109.77 90.00
Fractional positions:
Sr 0.0000 0.0000 0.0000
Li 0.4285 0.5000 0.4379
Br 0.4296 0.5000 0.8376
Br 0.7034 0.0000 0.4040

***

> The highest calculated volume belongs to which entry?

Sr3Li2Br8

***

> Among the records above, which one has the lowest calculated volume?

SrLiBr2

***

Copy entry 2 word for word.
A plane-wave DFT calculation with PBE was carried out for crystalline SrLiBr2 at its relaxed geometry.

- E_form (uncorrected): -1407 meV per atom
- Calculated volume: 118 Å³/cell
- Distance to the lowest polymorph of the same formula: 26 meV/atom

Lattice parameters (Å, degrees): 4.6294 4.2611 6.3381 90.00 109.77 90.00
Fractional positions:
Sr 0.0000 0.0000 0.0000
Li 0.4285 0.5000 0.4379
Br 0.4296 0.5000 0.8376
Br 0.7034 0.0000 0.4040

***

> Look up the calculated volume of the second one.

118 Å³/cell